1.
Material: La4ScIn3
Method: DFT, PBE-GGA
State: relaxed

a = 4.966 Å, b = 4.966 Å, c = 10.324 Å
α = 103.95°, β = 103.95°, γ = 89.95°
Positions (direct):
Sc: 0.500 0.000 0.000
In: 0.000 0.500 0.000
In: 0.750 0.250 0.501
In: 0.250 0.750 0.499
La: 0.372 0.373 0.745
La: 0.628 0.627 0.255
La: 0.127 0.128 0.255
La: 0.873 0.872 0.745

## Properties
Raw total energy in eV per atom: -4.6349
Calculated formation energy in eV/atom: -0.35
Size of the total moment in μB per cell: 0.001



2.
Material: La2ScIn
Method: DFT, PBE-GGA
State: relaxed

a = 3.654 Å, b = 5.462 Å, c = 5.798 Å
α = 90.00°, β = 90.00°, γ = 90.00°
Positions (direct):
In: 0.000 0.500 0.500
La: 0.000 0.000 0.000
La: 0.500 0.500 0.000
Sc: 0.500 0.000 0.500

## Properties
Raw total energy in eV per atom: -4.8529
Calculated formation energy in eV/atom: -0.12
Size of the total moment in μB per cell: 0.000



3.
Material: LaSc4In5
Method: DFT, PBE-GGA
State: relaxed

a = 3.624 Å, b = 3.624 Å, c = 18.332 Å
α = 90.00°, β = 90.00°, γ = 90.00°
Positions (direct):
La: 0.000 0.000 0.000
Sc: 0.000 0.000 0.217
Sc: 0.000 0.000 0.406
Sc: 0.000 0.000 0.594
Sc: 0.000 0.000 0.783
In: 0.500 0.500 0.122
In: 0.500 0.500 0.312
In: 0.500 0.500 0.500
In: 0.500 0.500 0.688
In: 0.500 0.500 0.878

## Properties
Raw total energy in eV per atom: -4.8298
Calculated formation energy in eV/atom: -0.44
Size of the total moment in μB per cell: 0.000



4.
Material: LaSc5In6
Method: DFT, PBE-GGA
State: relaxed

a = 5.161 Å, b = 7.196 Å, c = 8.921 Å
α = 113.79°, β = 106.81°, γ = 90.00°
Positions (direct):
Sc: 0.341 0.841 0.682
Sc: 0.669 0.669 0.337
Sc: 0.000 0.500 0.000
Sc: 0.331 0.331 0.663
Sc: 0.659 0.159 0.318
In: 0.174 0.437 0.349
In: 0.174 0.912 0.349
In: 0.500 0.276 0.000
In: 0.500 0.724 0.000
In: 0.826 0.088 0.651
In: 0.826 0.563 0.651
La: 0.000 0.000 0.000

## Properties
Raw total energy in eV per atom: -4.8243
Calculated formation energy in eV/atom: -0.41
Size of the total moment in μB per cell: 0.000



5.
Material: LaScIn3
Method: DFT, PBE-GGA
State: relaxed

a = 5.399 Å, b = 5.399 Å, c = 5.399 Å
α = 90.00°, β = 90.00°, γ = 90.00°
Positions (direct):
Sc: 0.000 0.000 0.000
In: 0.000 0.500 0.000
In: 0.000 0.000 0.500
In: 0.500 0.000 0.000
La: 0.500 0.500 0.500

## Properties
Raw total energy in eV per atom: -3.8707
Calculated formation energy in eV/atom: 0.02
Size of the total moment in μB per cell: 0.000



6.
Material: LaSc5In3
Method: DFT, PBE-GGA
State: relaxed

a = 6.398 Å, b = 8.930 Å, c = 8.931 Å
α = 120.00°, β = 90.00°, γ = 90.00°
Positions (direct):
La: 0.000 0.000 0.000
La: 0.500 0.000 0.000
Sc: 0.000 0.667 0.333
Sc: 0.500 0.333 0.667
Sc: 0.000 0.333 0.667
Sc: 0.500 0.667 0.333
Sc: 0.750 0.668 0.668
Sc: 0.750 0.000 0.332
Sc: 0.750 0.332 0.000
Sc: 0.250 0.332 0.332
Sc: 0.250 0.000 0.668
Sc: 0.250 0.668 0.000
In: 0.750 0.346 0.346
In: 0.750 0.000 0.654
In: 0.750 0.654 0.000
In: 0.250 0.654 0.654
In: 0.250 0.000 0.346
In: 0.250 0.346 0.000

## Properties
Raw total energy in eV per atom: -5.3167
Calculated formation energy in eV/atom: -0.34
Size of the total moment in μB per cell: 0.010



7.
Material: LaSc2In
Method: DFT, PBE-GGA
State: relaxed

a = 6.446 Å, b = 6.446 Å, c = 5.213 Å
α = 66.59°, β = 66.59°, γ = 32.88°
Positions (direct):
In: 0.484 0.484 0.514
La: 0.236 0.236 0.266
Sc: 0.012 0.012 0.987
Sc: 0.769 0.769 0.733

## Properties
Raw total energy in eV per atom: -5.2381
Calculated formation energy in eV/atom: -0.16
Size of the total moment in μB per cell: 0.000



8.
Material: La2ScIn
Method: DFT, PBE-GGA
State: relaxed

a = 3.561 Å, b = 3.561 Å, c = 11.456 Å
α = 81.06°, β = 81.06°, γ = 60.00°
Positions (direct):
La: 0.084 0.084 0.747
La: 0.249 0.249 0.253
Sc: 0.500 0.500 0.499
In: 0.667 0.667 0.000

## Properties
Raw total energy in eV per atom: -4.8008
Calculated formation energy in eV/atom: -0.07
Size of the total moment in μB per cell: 0.003



9.
Material: La9ScIn2
Method: DFT, PBE-GGA
State: relaxed

a = 5.073 Å, b = 5.073 Å, c = 15.343 Å
α = 90.00°, β = 90.00°, γ = 90.00°
Positions (direct):
La: 0.500 0.500 0.000
La: 0.500 0.500 0.334
La: 0.500 0.500 0.666
La: 0.500 0.000 0.168
La: 0.500 0.000 0.500
La: 0.500 0.000 0.832
La: 0.000 0.500 0.168
La: 0.000 0.500 0.500
La: 0.000 0.500 0.832
Sc: 0.000 0.000 0.000
In: 0.000 0.000 0.336
In: 0.000 0.000 0.664

## Properties
Raw total energy in eV per atom: -4.8590
Calculated formation energy in eV/atom: -0.18
Size of the total moment in μB per cell: 0.005



10.
Material: La2ScIn
Method: DFT, PBE-GGA
State: relaxed

a = 11.191 Å, b = 11.191 Å, c = 11.191 Å
α = 18.26°, β = 18.26°, γ = 18.26°
Positions (direct):
In: 0.755 0.755 0.755
La: 0.004 0.004 0.004
La: 0.246 0.246 0.246
Sc: 0.495 0.495 0.495

## Properties
Raw total energy in eV per atom: -4.8238
Calculated formation energy in eV/atom: -0.09
Size of the total moment in μB per cell: 0.000



11.
Material: LaSc3In
Method: DFT, PBE-GGA
State: relaxed

a = 5.426 Å, b = 5.426 Å, c = 5.426 Å
α = 90.00°, β = 90.00°, γ = 90.00°
Positions (direct):
Sc: 0.000 0.500 0.000
Sc: 0.000 0.000 0.500
Sc: 0.500 0.000 0.000
In: 0.000 0.000 0.000
La: 0.500 0.500 0.500

## Properties
Raw total energy in eV per atom: -4.9920
Calculated formation energy in eV/atom: 0.34
Size of the total moment in μB per cell: 0.000



12.
Material: La2ScIn
Method: DFT, PBE-GGA
State: relaxed

a = 6.625 Å, b = 6.625 Å, c = 6.625 Å
α = 145.96°, β = 130.47°, γ = 61.46°
Positions (direct):
Sc: 0.470 0.470 0.000
In: 0.269 0.769 0.500
La: 0.021 0.021 0.000
La: 0.740 0.240 0.500

## Properties
Raw total energy in eV per atom: -4.9591
Calculated formation energy in eV/atom: -0.23
Size of the total moment in μB per cell: 0.000



| no. | volume (A^3/atom) |
| --- | --- |
| 1 | 29.9 |
| 2 | 28.9 |
| 3 | 24.1 |
| 4 | 24.0 |
| 5 | 31.5 |
| 6 | 24.6 |
| 7 | 26.8 |
| 8 | 30.9 |
| 9 | 32.9 |
| 10 | 30.1 |
| 11 | 32.0 |
| 12 | 30.6 |